## LiMg5Ag (GGA-PBE)

Data for a relaxed LiMg5Ag crystal.

Calculated values
For the volume, the calculation gives 219.3 Å³/f.u. For the formation energy, the calculation gives 0.3383 eV/atom.

Unit cell a=5.1146 b=8.0495 c=10.6538 alpha=90.00 beta=90.00 gamma=90.00
Last column: nearest neighbours and their distance in Å.
Space group Immm (No. 71)
One atom of each set of equivalent atoms:
Li1 0.0000 0.0000 0.0000  6 Mg 2.70-2.93
Mg1 0.0000 0.0000 0.2535  1 Ag 2.63, 1 Li 2.70
Mg2 0.0000 0.3213 0.5000  1 Ag 2.59, 1 Mg 2.88
Mg3 0.0000 0.5000 0.0000  2 Ag 2.56
Ag1 0.0000 0.0000 0.5000  6 Mg 2.56-2.63


## Ba3Sn2Sb3 (GGA-PBE)

Data for a relaxed Ba3Sn2Sb3 crystal.

Calculated values
For the volume, the calculation gives 292.8 Å³/f.u. The calculation puts the formation energy (no corrections) at -0.65 eV per atom.

Unit cell a=5.1146 b=13.1387 c=17.4313 alpha=90.00 beta=90.00 gamma=90.00
Last column: nearest neighbours and their distance in Å.
Space group Cmcm (No. 63)
One atom of each set of equivalent atoms:
Ba1 0.0000 0.0594 0.1081  6 Sb 3.62-3.79, 3 Sn 3.71-3.84
Ba2 0.0000 0.3323 0.2500  5 Sb 3.65-3.88, 4 Sn 3.67
Sn1 0.0000 0.2231 0.6047  4 Sb 3.04-3.35
Sb1 0.0000 0.3670 0.0394  3 Sn 3.04-3.14
Sb2 0.0000 0.3901 0.7500  2 Sn 3.35, 5 Ba 3.62-3.65


Number 1: final energy -0.109 Ry per atom. Number 2: final energy -0.288 Ry per atom.